{
  "formula": "Pa2Zn5Au4",
  "functional": "PBE-GGA",
  "state": "optimized geometry",
  "space_group": "Fmmm",
  "lattice": [[0.000, 4.517, 8.918], [2.685, 0.000, 8.918], [2.685, 4.517, 0.000]],
  "species": ["Pa", "Pa", "Zn", "Zn", "Zn", "Zn", "Zn", "Au", "Au", "Au", "Au"],
  "fractional_positions": [[0.106, 0.106, 0.894], [0.894, 0.894, 0.106], [0.000, 0.000, 0.500], [0.250, 0.250, 0.250], [0.500, 0.500, 0.000], [0.500, 0.500, 0.500], [0.750, 0.750, 0.750], [0.207, 0.528, 0.472], [0.472, 0.793, 0.207], [0.528, 0.207, 0.793], [0.793, 0.472, 0.528]]
}

***

{
  "formula": "Cr3As",
  "functional": "PBE-GGA",
  "state": "optimized geometry",
  "space_group": "Pm-3m",
  "lattice": [[4.971, 0.000, 0.000], [0.000, 4.971, 0.000], [0.000, 0.000, 4.971]],
  "species": ["Cr", "Cr", "Cr", "As"],
  "fractional_positions": [[0.000, 0.000, 0.500], [0.000, 0.500, 0.000], [0.500, 0.000, 0.000], [0.000, 0.000, 0.000]]
}

***

no.,energy of formation from the pure elements (eV/atom),E_tot (eV/atom)
1,-0.25,-3.74
2,1.26,-7.12